Material: Ho3In3CuRu2
Method: DFT, PBE-GGA
State: optimized geometry

Lattice parameters (Å, degrees): 7.5736 7.5736 3.8130 90.00 90.00 120.00
Space group P-62m (No. 189)
One atom of each set of equivalent atoms:
Ho 0.0000 0.4100 0.0000 (multiplicity 3)
In 0.0000 0.7409 0.5000 (multiplicity 3)
Cu 0.0000 0.0000 0.0000 (multiplicity 1)
Ru 0.3333 0.6667 0.5000 (multiplicity 2)

Summary:
**Calculated formation energy**: -39 kJ/mol of atoms
**DOS(E_F)**: 0.78 states/eV/atom

Material: HoInCuRu
Method: DFT, PBE-GGA
State: optimized geometry

Lattice parameters (Å, degrees): 6.650 6.650 6.650 90.00 90.00 90.00
Space group F-43m (No. 216)
One atom of each set of equivalent atoms:
Ho 0.000 0.000 0.000 (multiplicity 4)
In 0.000 0.000 0.500 (multiplicity 4)
Cu 0.250 0.250 0.250 (multiplicity 4)
Ru 0.250 0.250 0.750 (multiplicity 4)

Summary:
**Calculated formation energy**: -19 kJ/mol of atoms
**DOS(E_F)**: 0.72 states/eV/atom

Material: Ho4InCu2Ru
Method: DFT, PBE-GGA
State: optimized geometry

Lattice parameters (Å, degrees): 4.9827 4.9827 24.3670 90.00 90.00 120.00
Space group R-3m (No. 166, hexagonal axes)
One atom of each set of equivalent atoms:
Ho 0.0000 0.0000 0.1152 (multiplicity 6)
Ho 0.0000 0.0000 0.3677 (multiplicity 6)
In 0.0000 0.0000 0.5000 (multiplicity 3)
Cu 0.0000 0.0000 0.2428 (multiplicity 6)
Ru 0.0000 0.0000 0.0000 (multiplicity 3)

Summary:
**Calculated formation energy**: -35 kJ/mol of atoms
**DOS(E_F)**: 0.56 states/eV/atom

Material: HoIn4CuS8
Method: DFT, PBE-GGA
State: optimized geometry

Lattice parameters (Å, degrees): 7.7284 7.7284 18.7553 90.00 90.00 120.00
Space group R3m (No. 160, hexagonal axes)
One atom of each set of equivalent atoms:
Ho 0.0000 0.0000 0.0000 (multiplicity 3)
In 0.0000 0.0000 0.6142 (multiplicity 3)
In 0.1748 0.3496 0.8222 (multiplicity 9)
Cu 0.0000 0.0000 0.3662 (multiplicity 3)
S 0.0000 0.0000 0.2389 (multiplicity 3)
S 0.0000 0.0000 0.7504 (multiplicity 3)
S 0.1678 0.3355 0.0770 (multiplicity 9)
S 0.1772 0.3543 0.5706 (multiplicity 9)

Summary:
**DOS(E_F)**: 0.39 states/eV/atom
**Raw formation energy**: -774 meV per atom

Material: Ho2InCuS4
Method: DFT, PBE-GGA
State: optimized geometry

Lattice parameters (Å, degrees): 3.928 13.507 13.716 90.00 90.00 90.00
Space group Cmcm (No. 63)
One atom of each set of equivalent atoms:
Ho 0.000 0.134 0.063 (multiplicity 8)
In 0.000 0.393 0.250 (multiplicity 4)
Cu 0.000 0.334 0.750 (multiplicity 4)
S 0.000 0.069 0.250 (multiplicity 4)
S 0.000 0.237 0.610 (multiplicity 8)
S 0.000 0.500 0.000 (multiplicity 4)

Summary:
**Raw formation energy**: -1406 meV per atom

Material: HoIn4CuSe8
Method: DFT, PBE-GGA
State: optimized geometry

Lattice parameters (Å, degrees): 8.1287 8.1287 19.6920 90.00 90.00 120.00
Space group R3m (No. 160, hexagonal axes)
One atom of each set of equivalent atoms:
Ho 0.0000 0.0000 0.0000 (multiplicity 3)
In 0.0000 0.0000 0.3868 (multiplicity 3)
In 0.0174 0.5087 0.5126 (multiplicity 9)
Cu 0.0000 0.0000 0.6352 (multiplicity 3)
Se 0.0000 0.0000 0.2499 (multiplicity 3)
Se 0.0000 0.0000 0.7624 (multiplicity 3)
Se 0.0034 0.5017 0.2579 (multiplicity 9)
Se 0.0234 0.5117 0.7634 (multiplicity 9)

Summary:
**DOS(E_F)**: 0.50 states/eV/atom
**Raw formation energy**: -694 meV per atom

Material: Ho2InCuSe4
Method: DFT, PBE-GGA
State: optimized geometry

Lattice parameters (Å, degrees): 4.079 14.018 14.306 90.00 90.00 90.00
Space group Cmcm (No. 63)
One atom of each set of equivalent atoms:
Ho 0.000 0.134 0.065 (multiplicity 8)
In 0.000 0.387 0.250 (multiplicity 4)
Cu 0.000 0.339 0.750 (multiplicity 4)
Se 0.000 0.062 0.250 (multiplicity 4)
Se 0.000 0.234 0.612 (multiplicity 8)
Se 0.000 0.500 0.000 (multiplicity 4)

Summary:
**Raw formation energy**: -1266 meV per atom

Material: SrHoInCu
Method: DFT, PBE-GGA
State: optimized geometry

Lattice parameters (Å, degrees): 7.547 7.547 7.547 90.00 90.00 90.00
Space group F-43m (No. 216)
One atom of each set of equivalent atoms:
Sr 0.000 0.000 0.000 (multiplicity 4)
Ho 0.000 0.000 0.500 (multiplicity 4)
In 0.250 0.250 0.750 (multiplicity 4)
Cu 0.250 0.250 0.250 (multiplicity 4)

Summary:
**Calculated formation energy**: -16 kJ/mol of atoms
**DOS(E_F)**: 1.32 states/eV/atom